This record from the Alexandria database describes a geometry-optimized Y2ErMoO6 structure. The functional is PBE+U.

Unit cell a=6.000 b=6.000 c=6.000 alpha=56.91 beta=56.91 gamma=56.91
Fractional coordinates of all 10 atoms:
Y 0.000 0.000 0.000
Y 0.495 0.495 0.495
Er 0.214 0.214 0.214
Mo 0.706 0.706 0.706
O 0.090 0.417 0.822
O 0.328 0.909 0.597
O 0.417 0.822 0.090
O 0.597 0.328 0.909
O 0.822 0.090 0.417
O 0.909 0.597 0.328

Properties
As for the calculated density: 6.29 g/cm3. The calculation puts the total energy at -8.484 eV/atom. Its space-group type is R3 (146).